No. 1
Tb6PaSe8 (GGA-PBE, optimized geometry); uncorrected formation energy = -1.72 eV per atom; magnetization = 1.7 Bohr magnetons per cell; E = -6.07 eV per atom; DOS(E_F) = 12.5 states/eV/cell
1.0
-4.0968 0.2764 7.0524
-1.5535 -6.8893 4.0891
3.8604 -1.5347 7.0242
Tb Pa Se
6 1 8
Direct
0.0000 0.5000 0.5000
0.5000 0.0000 0.0000
0.5000 0.5000 0.0000
0.0000 0.0000 0.5000
0.0000 0.5000 0.0000
0.5000 0.0000 0.5000
0.0000 0.0000 0.0000
0.7500 0.7500 0.7500
0.2500 0.2500 0.2500
0.7448 0.2552 0.2552
0.2552 0.7448 0.7448
0.2552 0.2552 0.7448
0.7448 0.7448 0.2552
0.7448 0.2552 0.7448
0.2552 0.7448 0.2552



No. 2
Tb2PaSe5 (GGA-PBE, optimized geometry); uncorrected formation energy = -1.63 eV per atom; magnetization = 2.0 Bohr magnetons per cell; E = -6.15 eV per atom; DOS(E_F) = 7.5 states/eV/cell
1.0
-4.1210 -2.3103 -3.0623
0.8359 -3.3202 6.5555
-9.0859 8.7780 5.6045
Tb Pa Se
4 2 10
Direct
0.8535 0.7070 0.4450
0.8535 0.7070 0.0550
0.1465 0.2930 0.5550
0.1465 0.2930 0.9450
0.7970 0.5940 0.7500
0.2030 0.4060 0.2500
0.9534 0.9068 0.8776
0.9534 0.9068 0.6224
0.3189 0.6377 0.4272
0.3189 0.6377 0.0728
0.7536 0.5072 0.2500
0.2464 0.4928 0.7500
0.6811 0.3623 0.5728
0.6811 0.3623 0.9272
0.0466 0.0932 0.1224
0.0466 0.0932 0.3776